Entry 1:
# SrVSb2O8 GGA+U relaxed
# - energy (eV per atom) = -6.465
data_SrVSb2O8
_chemical_formula_sum 'Sr1 V1 Sb2 O8'
_space_group_name_H-M_alt 'P 1 2/m 1'
_space_group_IT_number 10
_space_group_name_Hall '-P 2y'
_cell_length_a 4.905
_cell_length_b 6.490
_cell_length_c 4.905
_cell_angle_alpha 90.00
_cell_angle_beta 94.40
_cell_angle_gamma 90.00
loop_
_atom_site_label
_atom_site_fract_x
_atom_site_fract_y
_atom_site_fract_z
_atom_site_occupancy
Sr1 0.000 0.000 0.000 1
V1 0.000 0.500 0.000 1
Sb1 0.500 0.258 0.500 1
O1 0.186 0.293 0.223 1
O2 0.318 0.500 0.708 1
O3 0.353 0.000 0.689 1

---

Entry 2:
# Sr3VSb2O8 GGA+U relaxed
# - energy (eV per atom) = -6.209
data_Sr3VSb2O8
_chemical_formula_sum 'Sr3 V1 Sb2 O8'
_space_group_name_H-M_alt 'P -3 m 1'
_space_group_IT_number 164
_space_group_name_Hall '-P 3 2"'
_cell_length_a 5.7820
_cell_length_b 5.7820
_cell_length_c 7.7143
_cell_angle_alpha 90.00
_cell_angle_beta 90.00
_cell_angle_gamma 120.00
loop_
_atom_site_label
_atom_site_fract_x
_atom_site_fract_y
_atom_site_fract_z
_atom_site_occupancy
Sr1 0.0000 0.0000 0.0000 1
Sr2 0.3333 0.6667 0.6237 1
V1 0.0000 0.0000 0.5000 1
Sb1 0.3333 0.6667 0.1940 1
O1 0.1636 0.3271 0.3396 1
O2 0.3333 0.6667 0.9269 1